(1)
A geometry-optimized ZrZnB structure, computed with GGA-PBE.

Cell and atoms, written as POSCAR:
```
ZrZnB
1.0
0.0000 2.9551 2.9551
2.9551 0.0000 2.9551
2.9551 2.9551 0.0000
Zr Zn B
1 1 1
direct
0.0000 0.0000 0.0000 Zr
0.2500 0.2500 0.2500 Zn
0.7500 0.7500 0.7500 B
```

Properties
**Calculated volume**: 17.2 Å³ per atom
**Energy**: -4.848 eV/atom
**Total moment**: 0.00 μB/f.u.
**Space-group type**: No. 216

(2)
A geometry-optimized Zr2ZnB2 structure, computed with GGA-PBE.

Cell and atoms, written as POSCAR:
```
Zr2ZnB2
1.0
1.5897 -6.2005 0.0000
1.5897 6.2005 0.0000
0.0000 0.0000 3.4744
Zr Zn B
2 1 2
direct
0.1385 0.8615 0.0000 Zr
0.8615 0.1385 0.0000 Zr
0.5000 0.5000 0.5000 Zn
0.2820 0.7180 0.5000 B
0.7180 0.2820 0.5000 B
```

Properties
**Calculated volume**: 13.7 Å³ per atom
**Energy**: -7.040 eV/atom
**Total moment**: 0.01 μB/f.u.
**Space-group type**: No. 65

(3)
A geometry-optimized Zr3ZnB2 structure, computed with GGA-PBE.

Cell and atoms, written as POSCAR:
```
Zr3ZnB2
1.0
3.4618 0.0000 0.0000
-1.7309 2.9980 0.0000
0.0000 0.0000 19.7343
Zr Zn B
6 2 4
direct
0.0000 0.0000 0.0000 Zr
0.0000 0.0000 0.5000 Zr
0.3333 0.6667 0.1385 Zr
0.3333 0.6667 0.3615 Zr
0.6667 0.3333 0.6385 Zr
0.6667 0.3333 0.8615 Zr
0.0000 0.0000 0.2500 Zn
0.0000 0.0000 0.7500 Zn
0.3333 0.6667 0.5748 B
0.3333 0.6667 0.9252 B
0.6667 0.3333 0.0748 B
0.6667 0.3333 0.4252 B
```

Properties
**Calculated volume**: 17.1 Å³ per atom
**Energy**: -7.016 eV/atom
**Total moment**: 0.01 μB/f.u.
**Space-group type**: No. 194

(4)
A geometry-optimized ZrB12 structure, computed with GGA-PBE.

Cell and atoms, written as POSCAR:
```
ZrB12
1.0
0.0000 3.6955 3.6955
3.6955 0.0000 3.6955
3.6955 3.6955 0.0000
Zr B
1 12
direct
0.0000 0.0000 0.0000 Zr
0.1608 0.5000 0.5000 B
0.1608 0.5000 0.8392 B
0.1608 0.8392 0.5000 B
0.5000 0.1608 0.5000 B
0.5000 0.1608 0.8392 B
0.5000 0.5000 0.1608 B
0.5000 0.5000 0.8392 B
0.5000 0.8392 0.1608 B
0.5000 0.8392 0.5000 B
0.8392 0.1608 0.5000 B
0.8392 0.5000 0.1608 B
0.8392 0.5000 0.5000 B
```

Properties
**Calculated volume**: 7.8 Å³ per atom
**Energy**: -7.035 eV/atom
**Total moment**: 0.00 μB/f.u.
**Space-group type**: No. 225

(5)
A geometry-optimized ZrB2 structure, computed with GGA-PBE.

Cell and atoms, written as POSCAR:
```
ZrB2
1.0
0.0000 3.1607 3.1607
3.1607 0.0000 3.1607
3.1607 3.1607 0.0000
Zr B
2 4
direct
0.1250 0.1250 0.1250 Zr
0.8750 0.8750 0.8750 Zr
0.0000 0.5000 0.5000 B
0.5000 0.0000 0.5000 B
0.5000 0.5000 0.0000 B
0.5000 0.5000 0.5000 B
```

Properties
**Calculated volume**: 10.5 Å³ per atom
**Energy**: -7.075 eV/atom
**Total moment**: 0.00 μB/f.u.
**Space-group type**: No. 227

(6)
A geometry-optimized ZrB2 structure, computed with GGA-PBE.

Cell and atoms, written as POSCAR:
```
ZrB2
1.0
3.1753 0.0000 0.0000
-1.5877 2.7499 0.0000
0.0000 0.0000 3.5447
Zr B
1 2
direct
0.0000 0.0000 0.0000 Zr
0.3333 0.6667 0.5000 B
0.6667 0.3333 0.5000 B
```

Properties
**Calculated volume**: 10.3 Å³ per atom
**Energy**: -8.293 eV/atom
**Total moment**: 0.00 μB/f.u.
**Space-group type**: No. 191

(7)
A geometry-optimized ZrB2 structure, computed with GGA-PBE.

Cell and atoms, written as POSCAR:
```
ZrB2
1.0
0.0000 5.3345 5.3345
5.3345 0.0000 5.3345
5.3345 5.3345 0.0000
Zr B
2 4
direct
0.1250 0.1250 0.1250 Zr
0.8750 0.8750 0.8750 Zr
0.0000 0.0000 0.0000 B
0.0000 0.0000 0.5000 B
0.0000 0.5000 0.0000 B
0.5000 0.0000 0.0000 B
```

Properties
**Calculated volume**: 50.6 Å³ per atom
**Energy**: -4.603 eV/atom
**Total moment**: 0.65 μB/f.u.
**Space-group type**: No. 227

(8)
A geometry-optimized Zr2B structure, computed with GGA-PBE.

Cell and atoms, written as POSCAR:
```
Zr2B
1.0
3.5176 0.0000 0.0000
0.0000 10.7235 0.0000
0.0000 0.0000 5.7922
Zr B
8 4
direct
0.2500 0.0059 0.2476 Zr
0.2500 0.2500 0.9045 Zr
0.2500 0.4941 0.2476 Zr
0.2500 0.7500 0.5723 Zr
0.7500 0.2500 0.4277 Zr
0.7500 0.5059 0.7524 Zr
0.7500 0.7500 0.0955 Zr
0.7500 0.9941 0.7524 Zr
0.2500 0.6325 0.9157 B
0.2500 0.8675 0.9157 B
0.7500 0.1325 0.0843 B
0.7500 0.3675 0.0843 B
```

Properties
**Calculated volume**: 18.2 Å³ per atom
**Energy**: -8.226 eV/atom
**Total moment**: 0.00 μB/f.u.
**Space-group type**: No. 59